Record 1
CaTcBrCl2 after structural relaxation, computed with PBEsol.

a b c (Å): 5.7957 5.7957 4.4993
angles (deg): 90.00 90.00 90.00
With the nearest neighbours (Å) after each atom.
Fractional coordinates of all 5 atoms:
Ca 0.0000 0.0000 0.0000  8 Cl 3.67, 4 Tc 4.10
Tc 0.5000 0.5000 0.0000  2 Br 2.25
Br 0.5000 0.5000 0.5000  2 Tc 2.25
Cl 0.0000 0.5000 0.5000  2 Br 2.90
Cl 0.5000 0.0000 0.5000  2 Br 2.90

Results
Symmetry: No. 123
DOS(E_F): 4.8 states/eV per cell
E_form (uncorrected): 321 meV per atom
V: 30.23 A^3/atom

***

Record 2
CaCoBr2 after structural relaxation, computed with PBEsol.

a b c (Å): 10.5597 3.7332 4.8462
angles (deg): 90.00 90.59 90.00
With the nearest neighbours (Å) after each atom.
Fractional coordinates of all 8 atoms:
Ca 0.0000 0.0000 0.0000  7 Br 2.93-3.10, 2 Co 2.93
Ca 0.5000 0.5000 0.0000  7 Br 2.93-3.10, 2 Co 2.93
Co 0.3040 0.0000 0.1831  3 Br 2.29-2.32
Co 0.8040 0.5000 0.1831  3 Br 2.29-2.32
Br 0.2233 0.5000 0.9595  2 Co 2.32
Br 0.4694 0.0000 0.4931  1 Co 2.29
Br 0.7233 0.0000 0.9595  2 Co 2.32
Br 0.9694 0.5000 0.4931  1 Co 2.29

Results
Symmetry: No. 8
DOS(E_F): 6.2 states/eV per cell
Relative energy among the computed polymorphs: 0.0 kJ per mole of atoms
E_form (uncorrected): -651 meV per atom
V: 23.88 A^3/atom

***

Repeat the first record exactly.
CaTcBrCl2 after structural relaxation, computed with PBEsol.

a b c (Å): 5.7957 5.7957 4.4993
angles (deg): 90.00 90.00 90.00
With the nearest neighbours (Å) after each atom.
Fractional coordinates of all 5 atoms:
Ca 0.0000 0.0000 0.0000  8 Cl 3.67, 4 Tc 4.10
Tc 0.5000 0.5000 0.0000  2 Br 2.25
Br 0.5000 0.5000 0.5000  2 Tc 2.25
Cl 0.0000 0.5000 0.5000  2 Br 2.90
Cl 0.5000 0.0000 0.5000  2 Br 2.90

Results
Symmetry: No. 123
DOS(E_F): 4.8 states/eV per cell
E_form (uncorrected): 321 meV per atom
V: 30.23 A^3/atom

***

Please write out number 2 again, unchanged.
CaCoBr2 after structural relaxation, computed with PBEsol.

a b c (Å): 10.5597 3.7332 4.8462
angles (deg): 90.00 90.59 90.00
With the nearest neighbours (Å) after each atom.
Fractional coordinates of all 8 atoms:
Ca 0.0000 0.0000 0.0000  7 Br 2.93-3.10, 2 Co 2.93
Ca 0.5000 0.5000 0.0000  7 Br 2.93-3.10, 2 Co 2.93
Co 0.3040 0.0000 0.1831  3 Br 2.29-2.32
Co 0.8040 0.5000 0.1831  3 Br 2.29-2.32
Br 0.2233 0.5000 0.9595  2 Co 2.32
Br 0.4694 0.0000 0.4931  1 Co 2.29
Br 0.7233 0.0000 0.9595  2 Co 2.32
Br 0.9694 0.5000 0.4931  1 Co 2.29

Results
Symmetry: No. 8
DOS(E_F): 6.2 states/eV per cell
Relative energy among the computed polymorphs: 0.0 kJ per mole of atoms
E_form (uncorrected): -651 meV per atom
V: 23.88 A^3/atom

***

Please write out number 2 again, unchanged.
CaCoBr2 after structural relaxation, computed with PBEsol.

a b c (Å): 10.5597 3.7332 4.8462
angles (deg): 90.00 90.59 90.00
With the nearest neighbours (Å) after each atom.
Fractional coordinates of all 8 atoms:
Ca 0.0000 0.0000 0.0000  7 Br 2.93-3.10, 2 Co 2.93
Ca 0.5000 0.5000 0.0000  7 Br 2.93-3.10, 2 Co 2.93
Co 0.3040 0.0000 0.1831  3 Br 2.29-2.32
Co 0.8040 0.5000 0.1831  3 Br 2.29-2.32
Br 0.2233 0.5000 0.9595  2 Co 2.32
Br 0.4694 0.0000 0.4931  1 Co 2.29
Br 0.7233 0.0000 0.9595  2 Co 2.32
Br 0.9694 0.5000 0.4931  1 Co 2.29

Results
Symmetry: No. 8
DOS(E_F): 6.2 states/eV per cell
Relative energy among the computed polymorphs: 0.0 kJ per mole of atoms
E_form (uncorrected): -651 meV per atom
V: 23.88 A^3/atom

***

V of number 2 (CaCoBr2)? 23.88 A^3/atom